Record 1
A relaxed structure of GaAuI6, computed with PBE.

Results
uncorrected formation energy = -175 meV per atom
electronic total energy = -17.0 eV for the cell shown

a = 6.621 Å, b = 6.621 Å, c = 12.679 Å
α = 122.46°, β = 122.46°, γ = 93.77°
Fractional positions:
Ga: 0.500 0.500 0.500
Au: 0.000 0.000 0.000
I: 0.265 0.265 0.553
I: 0.346 0.952 0.218
I: 0.735 0.735 0.447
I: 0.048 0.654 0.782
I: 0.654 0.048 0.782
I: 0.952 0.346 0.218



Record 2
A relaxed structure of NaCrBRh2, computed with PBE.

Results
E_form = 39.57 kcal/mol of atoms
electronic total energy = -23.7 eV for the cell shown

a = 4.428 Å, b = 5.088 Å, c = 4.428 Å
α = 90.00°, β = 90.00°, γ = 90.00°
Fractional positions:
Cr: 0.000 0.000 0.000
B: 0.500 0.500 0.500
Rh: 0.000 0.000 0.500
Rh: 0.500 0.000 0.000
Na: 0.000 0.500 0.000



Record 3
A relaxed structure of NpCuTe, computed with PBE.

Results
uncorrected formation energy = -101 meV per atom
electronic total energy = -41.0 eV for the cell shown

a = 3.732 Å, b = 4.457 Å, c = 9.444 Å
α = 100.09°, β = 90.00°, γ = 114.75°
Fractional positions:
Te: 0.317 0.634 0.304
Te: 0.683 0.366 0.696
Cu: 0.595 0.191 0.204
Cu: 0.405 0.809 0.796
Np: 0.850 0.699 0.037
Np: 0.150 0.301 0.963



Record 4
A relaxed structure of ZnAg2Os, computed with PBE.

Results
E_form = 13.88 kcal/mol of atoms
electronic total energy = -15.8 eV for the cell shown

a = 4.799 Å, b = 4.799 Å, c = 4.799 Å
α = 129.75°, β = 129.75°, γ = 73.81°
Fractional positions:
Ag: 0.000 0.000 0.000
Ag: 0.250 0.750 0.500
Os: 0.500 0.500 0.000
Zn: 0.750 0.250 0.500



Record 5
A relaxed structure of Sr2CeGaSe5, computed with PBE.

Results
uncorrected formation energy = -1583 meV per atom
electronic total energy = -88.0 eV for the cell shown

a = 4.220 Å, b = 9.691 Å, c = 12.820 Å
α = 90.00°, β = 90.00°, γ = 102.58°
Fractional positions:
Sr: 0.880 0.760 0.826
Sr: 0.116 0.231 0.683
Sr: 0.120 0.240 0.326
Sr: 0.884 0.769 0.183
Ce: 0.795 0.590 0.524
Ce: 0.205 0.410 0.024
Ga: 0.557 0.114 0.934
Ga: 0.443 0.886 0.434
Se: 0.356 0.713 0.007
Se: 0.682 0.364 0.862
Se: 0.499 0.997 0.768
Se: 0.295 0.590 0.680
Se: 0.957 0.914 0.539
Se: 0.644 0.287 0.507
Se: 0.318 0.636 0.362
Se: 0.501 0.003 0.268
Se: 0.705 0.410 0.180
Se: 0.043 0.086 0.039



Record 6
A relaxed structure of Ac2ZnBiO6, computed with PBE.

Results
uncorrected formation energy = -2226 meV per atom
electronic total energy = -65.4 eV for the cell shown

a = 5.987 Å, b = 5.904 Å, c = 6.099 Å
α = 118.95°, β = 120.78°, γ = 90.00°
Fractional positions:
Ac: 0.234 0.254 0.508
Ac: 0.766 0.746 0.492
Zn: 0.500 0.000 0.000
Bi: 0.000 0.500 0.000
O: 0.358 0.752 0.505
O: 0.196 0.179 0.873
O: 0.804 0.306 0.127
O: 0.196 0.694 0.873
O: 0.804 0.821 0.127
O: 0.642 0.248 0.495